Pr12Nd2Y5, relaxed, DFT GGA-PBE; electronic total energy = -96.88 eV/cell; Fermi-level density of states = 27.6 states/eV/cell; space group = No. 12; formation energy from the elements = 2.332 eV/f.u.
1.0
6.881 0.000 -2.212
-0.904 8.370 -2.813
0.023 -0.103 11.879
Pr Y Nd
12 5 2
Cartesian
5.803 6.593 0.405
0.946 0.506 2.944
0.497 5.056 7.286
5.053 7.762 3.910
5.502 3.211 -0.432
0.197 1.674 6.449
2.852 2.476 8.872
3.147 5.791 -2.018
2.157 3.211 0.644
2.401 6.593 1.499
3.842 5.056 6.210
3.598 1.674 5.355
1.279 4.062 3.980
-0.452 4.185 -1.407
1.594 7.477 4.958
4.720 4.205 2.874
4.405 0.791 1.896
5.130 0.000 -1.649
1.751 0.000 -0.563

=====

PrNdY2, relaxed, DFT GGA-PBE; electronic total energy = -22.44 eV/cell; Fermi-level density of states = 4.6 states/eV/cell; space group = No. 166; formation energy from the elements = 0.031 eV/f.u.
1.0
3.641 0.000 0.000
1.820 3.153 0.000
1.820 1.051 11.758
Y Nd Pr
2 1 1
Cartesian
1.820 1.051 2.949
5.461 3.153 8.810
3.641 2.102 5.879
0.000 0.000 0.000

=====

| no. | polymorph energy (0 for the lowest one) (eV/f.u.) | spin magnetization (μB per cell) |
| --- | --- | --- |
| 1 | 0.15 | 0.000 |
| 2 | 0.00 | 0.000 |